Material: KPaCuTe3
Method: DFT, PBE-GGA
State: relaxed

total energy: -28.533 eV/f.u.
crystal system: orthorhombic
magnetic moment: 2.00 μB per cell

Cell lengths 8.119, 8.119, 11.410 Å; angles 90.00, 90.00, 149.16 degrees
Fractional positions:
Pa 0.500 0.500 0.500
Pa 0.500 0.500 0.000
Cu 0.966 0.034 0.250
Cu 0.034 0.966 0.750
Te 0.432 0.568 0.750
Te 0.868 0.132 0.438
Te 0.132 0.868 0.938
Te 0.868 0.132 0.062
Te 0.132 0.868 0.562
Te 0.568 0.432 0.250
K 0.752 0.248 0.750
K 0.248 0.752 0.250



Material: Pr4PuSe5
Method: DFT, PBE-GGA
State: relaxed

total energy: -68.811 eV/f.u.
crystal system: trigonal
magnetic moment: 5.89 μB per cell

Cell lengths 17.449, 17.449, 17.449 Å; angles 13.99, 13.99, 13.99 degrees
Fractional positions:
Pr 0.700 0.700 0.700
Pr 0.300 0.300 0.300
Pr 0.101 0.101 0.101
Pr 0.899 0.899 0.899
Pu 0.500 0.500 0.500
Se 0.599 0.599 0.599
Se 0.802 0.802 0.802
Se 0.198 0.198 0.198
Se 0.401 0.401 0.401
Se 0.000 0.000 0.000



Material: Mo2S3
Method: DFT, PBE-GGA
State: relaxed

total energy: -36.132 eV/f.u.
crystal system: orthorhombic
magnetic moment: 0.01 μB per cell

Cell lengths 5.928, 3.104, 17.392 Å; angles 90.00, 90.00, 90.00 degrees
Fractional positions:
S 0.062 0.750 0.101
S 0.611 0.750 0.774
S 0.938 0.250 0.899
S 0.389 0.250 0.226
S 0.111 0.750 0.726
S 0.073 0.250 0.425
S 0.427 0.750 0.925
S 0.889 0.250 0.274
S 0.438 0.250 0.601
S 0.562 0.750 0.399
S 0.573 0.250 0.075
S 0.927 0.750 0.575
Mo 0.788 0.250 0.681
Mo 0.712 0.750 0.181
Mo 0.212 0.750 0.319
Mo 0.308 0.750 0.506
Mo 0.692 0.250 0.494
Mo 0.192 0.250 0.006
Mo 0.288 0.250 0.819
Mo 0.808 0.750 0.994



Material: CoB
Method: DFT, PBE-GGA
State: relaxed

total energy: -12.753 eV/f.u.
crystal system: cubic
magnetic moment: 0.01 μB per cell

Cell lengths 3.098, 3.098, 3.098 Å; angles 60.00, 60.00, 60.00 degrees
Fractional positions:
Co 0.250 0.250 0.250
B 0.000 0.000 0.000